A relaxed structure of V2TeAuF. Source: the Alexandria database, functional PBE+U.

Computed properties:
DFT total energy	-22.7	eV/cell

Cell: 4.252 5.458 4.252 Å, 90.00 90.00 90.00°
Positions (direct):
Au 0.500 0.500 0.500
F 0.000 0.000 0.000
V 0.500 0.000 0.000
V 0.000 0.000 0.500
Te 0.000 0.500 0.000